VASP calculation (PBE-GGA) on ZnHg2Te2 after structural relaxation.

a b c (Å): 8.1910 8.1910 4.5965
angles (deg): 90.00 90.00 90.00
Fractional coordinates of all 10 atoms:
Hg: 0.6181 0.8819 0.5000
Hg: 0.8819 0.3819 0.5000
Hg: 0.1181 0.6181 0.5000
Hg: 0.3819 0.1181 0.5000
Te: 0.7283 0.2283 0.0000
Te: 0.2717 0.7717 0.0000
Te: 0.2283 0.2717 0.0000
Te: 0.7717 0.7283 0.0000
Zn: 0.0000 0.0000 0.0000
Zn: 0.5000 0.5000 0.0000

Output
Space group = P4/mbm
Offset from the most stable computed form = 0.0000 eV/atom

---

VASP calculation (PBE-GGA) on ZnHg2Te after structural relaxation.

a b c (Å): 3.3166 3.3166 9.0406
angles (deg): 90.00 90.00 90.00
Fractional coordinates of all 4 atoms:
Zn: 0.5000 0.5000 0.7500
Hg: 0.0000 0.0000 0.9517
Hg: 0.0000 0.0000 0.5483
Te: 0.5000 0.5000 0.2500

Output
Space group = P4/mmm
Offset from the most stable computed form = 0.2231 eV/atom

---

VASP calculation (PBE-GGA) on ZnHg2Te after structural relaxation.

a b c (Å): 6.7862 6.7862 3.2043
angles (deg): 89.19 89.19 131.39
Fractional coordinates of all 4 atoms:
Te: 0.5000 0.0000 0.5000
Hg: 0.5000 0.5000 0.0000
Hg: 0.0000 0.0000 0.0000
Zn: 0.0000 0.5000 0.5000

Output
Space group = C2/m
Offset from the most stable computed form = 0.1779 eV/atom

---

VASP calculation (PBE-GGA) on ZnHg2Te3 after structural relaxation.

a b c (Å): 7.9512 7.9512 7.9285
angles (deg): 99.48 99.48 120.18
Fractional coordinates of all 12 atoms:
Te: 0.5690 0.7383 0.8909
Te: 0.2011 0.0528 0.8680
Te: 0.3707 0.8911 0.3902
Te: 0.7383 0.5690 0.3909
Te: 0.0528 0.2011 0.3680
Te: 0.8911 0.3707 0.8902
Hg: 0.7678 0.2584 0.5074
Hg: 0.2584 0.7678 0.0074
Hg: 0.4272 0.5954 0.5076
Hg: 0.5954 0.4272 0.0076
Zn: 0.9316 0.0916 0.0071
Zn: 0.0916 0.9316 0.5071

Output
Space group = Cc
Energy = -25.7 eV per cell

---

VASP calculation (PBE-GGA) on ZnHg2Te after structural relaxation.

a b c (Å): 3.0722 3.0722 11.2669
angles (deg): 90.00 90.00 96.12
Fractional coordinates of all 4 atoms:
Zn: 0.5000 0.5000 0.7500
Hg: 0.0000 0.0000 0.5393
Hg: 0.0000 0.0000 0.9607
Te: 0.5000 0.5000 0.2500

Output
Space group = Cmmm
Offset from the most stable computed form = 0.2239 eV/atom

---

VASP calculation (PBE-GGA) on ZnHg2Te after structural relaxation.

a b c (Å): 5.6486 5.6486 5.6486
angles (deg): 136.62 106.34 89.54
Fractional coordinates of all 4 atoms:
Te: 0.4678 0.4678 0.0000
Hg: 0.0207 0.0207 0.0000
Hg: 0.7558 0.2558 0.5000
Zn: 0.2557 0.7557 0.5000

Output
Space group = Imm2
Offset from the most stable computed form = 0.1277 eV/atom

---

VASP calculation (PBE-GGA) on ZnHg2Te after structural relaxation.

a b c (Å): 7.6994 7.6994 6.5436
angles (deg): 53.96 53.96 90.00
Fractional coordinates of all 8 atoms:
Te: 0.0000 0.0000 0.0000
Te: 0.7500 0.2500 0.5000
Zn: 0.5000 0.5000 0.0000
Zn: 0.2500 0.7500 0.5000
Hg: 0.3750 0.4016 0.7500
Hg: 0.8750 0.8484 0.7500
Hg: 0.1516 0.6250 0.2500
Hg: 0.5984 0.1250 0.2500

Output
Space group = I-42d
Offset from the most stable computed form = 0.1863 eV/atom

---

VASP calculation (PBE-GGA) on Zn2HgTe2 after structural relaxation.

a b c (Å): 4.7590 4.7590 6.8415
angles (deg): 69.65 69.65 90.00
Fractional coordinates of all 5 atoms:
Zn: 0.6016 0.6016 0.7968
Zn: 0.3984 0.3984 0.2032
Hg: 0.0000 0.0000 0.0000
Te: 0.2500 0.7500 0.5000
Te: 0.7500 0.2500 0.5000

Output
Space group = I4/mmm
Offset from the most stable computed form = 0.3189 eV/atom

---

VASP calculation (PBE-GGA) on Zn4HgTe after structural relaxation.

a b c (Å): 5.5099 5.5099 5.5099
angles (deg): 60.00 60.00 60.00
Fractional coordinates of all 6 atoms:
Zn: 0.3744 0.3744 0.8768
Zn: 0.3744 0.8768 0.3744
Zn: 0.8768 0.3744 0.3744
Zn: 0.3744 0.3744 0.3744
Hg: 0.7500 0.7500 0.7500
Te: 0.0000 0.0000 0.0000

Output
Space group = F-43m
Energy = -7.5 eV per cell

---

VASP calculation (PBE-GGA) on ZnHg2Te after structural relaxation.

a b c (Å): 3.3546 3.3546 9.2310
angles (deg): 90.00 90.00 90.00
Fractional coordinates of all 4 atoms:
Zn: 0.5000 0.5000 0.7599
Hg: 0.5000 0.5000 0.2283
Hg: 0.0000 0.0000 0.9574
Te: 0.0000 0.0000 0.5544

Output
Space group = P4mm
Offset from the most stable computed form = 0.2010 eV/atom

---

VASP calculation (PBE-GGA) on ZnHg2Te after structural relaxation.

a b c (Å): 6.7391 6.7391 6.7391
angles (deg): 37.60 37.60 37.60
Fractional coordinates of all 4 atoms:
Zn: 0.7500 0.7500 0.7500
Hg: 0.0121 0.0121 0.0121
Hg: 0.4879 0.4879 0.4879
Te: 0.2500 0.2500 0.2500

Output
Space group = R-3m
Offset from the most stable computed form = 0.1362 eV/atom

---

VASP calculation (PBE-GGA) on ZrHgTe after structural relaxation.

a b c (Å): 3.7546 3.7546 6.8954
angles (deg): 90.00 90.00 120.00
Fractional coordinates of all 3 atoms:
Hg: 0.0000 0.0000 0.9590
Te: 0.6667 0.3333 0.3855
Zr: 0.3333 0.6667 0.6555

Output
Space group = P3m1
Offset from the most stable computed form = 0.2783 eV/atom

---

VASP calculation (PBE-GGA) on Zr2Hg2Te after structural relaxation.

a b c (Å): 7.4169 7.4169 4.4431
angles (deg): 90.00 90.00 90.00
Fractional coordinates of all 10 atoms:
Zr: 0.1529 0.3471 0.0000
Zr: 0.6529 0.1529 0.0000
Zr: 0.8471 0.6529 0.0000
Zr: 0.3471 0.8471 0.0000
Hg: 0.6479 0.8521 0.5000
Hg: 0.3521 0.1479 0.5000
Hg: 0.8521 0.3521 0.5000
Hg: 0.1479 0.6479 0.5000
Te: 0.5000 0.5000 0.0000
Te: 0.0000 0.0000 0.0000

Output
Space group = P4/mbm
Offset from the most stable computed form = 0.0000 eV/atom

---

VASP calculation (PBE-GGA) on ZrHg2Te after structural relaxation.

a b c (Å): 5.5556 5.5556 5.6619
angles (deg): 67.29 67.29 39.37
Fractional coordinates of all 4 atoms:
Te: 0.4635 0.4635 0.6110
Hg: 0.2631 0.2631 0.2080
Hg: 0.0241 0.0241 0.0459
Zr: 0.7493 0.7493 0.6351

Output
Space group = Cm
Energy = -13.2 eV per cell

---

VASP calculation (PBE-GGA) on ZrHgTe2 after structural relaxation.

a b c (Å): 4.4679 4.0368 6.2767
angles (deg): 71.27 90.00 90.00
Fractional coordinates of all 4 atoms:
Te: 0.5000 0.2770 0.3209
Te: 0.0000 0.0051 0.8650
Zr: 0.0000 0.6910 0.4929
Hg: 0.5000 0.5268 0.8212

Output
Space group = Amm2
Energy = -16.9 eV per cell

---

VASP calculation (PBE-GGA) on ZrHgTe2 after structural relaxation.

a b c (Å): 8.8705 7.2917 7.2917
angles (deg): 60.33 114.34 65.66
Fractional coordinates of all 8 atoms:
Zr: 0.2500 0.6745 0.1745
Zr: 0.7500 0.3255 0.8255
Te: 0.2445 0.6625 0.5813
Te: 0.7445 0.9187 0.8375
Te: 0.7555 0.3375 0.4187
Te: 0.2555 0.0813 0.1625
Hg: 0.7500 0.8436 0.3436
Hg: 0.2500 0.1564 0.6564

Output
Space group = C2/c
Energy = -32.9 eV per cell

---

VASP calculation (PBE-GGA) on ZrHgTe3 after structural relaxation.

a b c (Å): 5.4956 5.4956 5.4956
angles (deg): 90.00 90.00 90.00
Fractional coordinates of all 5 atoms:
Hg: 0.0000 0.0000 0.0000
Te: 0.0000 0.5000 0.0000
Te: 0.0000 0.0000 0.5000
Te: 0.5000 0.0000 0.0000
Zr: 0.5000 0.5000 0.5000

Output
Space group = Pm-3m
Offset from the most stable computed form = 0.9000 eV/atom

---

VASP calculation (PBE-GGA) on ZrHgTe2 after structural relaxation.

a b c (Å): 12.1908 12.1908 5.9210
angles (deg): 90.00 90.00 165.57
Fractional coordinates of all 8 atoms:
Te: 0.1431 0.8569 0.7500
Te: 0.8060 0.1940 0.7500
Te: 0.8569 0.1431 0.2500
Te: 0.1940 0.8060 0.2500
Zr: 0.5380 0.4620 0.7500
Zr: 0.4620 0.5380 0.2500
Hg: 0.0681 0.9319 0.2500
Hg: 0.9319 0.0681 0.7500

Output
Space group = Cmcm
Energy = -31.1 eV per cell

---

VASP calculation (PBE-GGA) on ZrHgTe after structural relaxation.

a b c (Å): 4.9125 4.9125 4.9125
angles (deg): 60.00 60.00 60.00
Fractional coordinates of all 3 atoms:
Hg: 0.0000 0.0000 0.0000
Zr: 0.7500 0.7500 0.7500
Te: 0.5000 0.5000 0.5000

Output
Space group = F-43m
Offset from the most stable computed form = 0.4595 eV/atom

---

VASP calculation (PBE-GGA) on ZrHgTe2 after structural relaxation.

a b c (Å): 9.9793 9.9793 9.9793
angles (deg): 158.66 157.76 31.01
Fractional coordinates of all 4 atoms:
Hg: 0.3006 0.8006 0.5000
Zr: 0.5526 0.5526 0.0000
Te: 0.9823 0.9823 0.0000
Te: 0.6645 0.1645 0.5000

Output
Space group = Imm2
Energy = -17.1 eV per cell

---

VASP calculation (PBE-GGA) on ZrHg2Te after structural relaxation.

a b c (Å): 4.0225 4.0293 5.9606
angles (deg): 90.00 90.00 90.00
Fractional coordinates of all 4 atoms:
Hg: 0.0000 0.0000 0.9908
Hg: 0.0000 0.0000 0.5092
Zr: 0.5000 0.5000 0.7500
Te: 0.5000 0.5000 0.2500

Output
Space group = P4/mmm
Energy = -12.3 eV per cell

---

VASP calculation (PBE-GGA) on ZrHgTe2 after structural relaxation.

a b c (Å): 3.8861 7.5814 7.8388
angles (deg): 84.67 89.77 75.17
Fractional coordinates of all 8 atoms:
Zr: 0.2049 0.4612 0.3514
Zr: 0.4213 0.0245 0.5027
Te: 0.7814 0.3023 0.6314
Te: 0.5625 0.7481 0.2336
Te: 0.0637 0.7375 0.6205
Te: 0.8448 0.1834 0.2227
Hg: 0.4395 0.9806 0.8890
Hg: 0.1863 0.5051 0.9652

Output
Space group = P-1
Energy = -35.5 eV per cell

---

VASP calculation (PBE-GGA) on ZrHgTe2 after structural relaxation.

a b c (Å): 7.9763 7.9763 8.0725
angles (deg): 60.39 60.39 90.00
Fractional coordinates of all 8 atoms:
Te: 0.2192 0.6250 0.2500
Te: 0.8750 0.7808 0.7500
Te: 0.5308 0.1250 0.2500
Te: 0.3750 0.4692 0.7500
Zr: 0.5000 0.5000 0.0000
Zr: 0.2500 0.7500 0.5000
Hg: 0.0000 0.0000 0.0000
Hg: 0.7500 0.2500 0.5000

Output
Space group = I-42d
Energy = -32.8 eV per cell

---

VASP calculation (PBE-GGA) on ZrHgTe2 after structural relaxation.

a b c (Å): 8.1026 8.1026 8.1026
angles (deg): 30.80 30.80 30.80
Fractional coordinates of all 4 atoms:
Hg: 0.2424 0.2424 0.2424
Zr: 0.5126 0.5126 0.5126
Te: 0.9702 0.9702 0.9702
Te: 0.7749 0.7749 0.7749

Output
Space group = R3m
Energy = -16.4 eV per cell

---

VASP calculation (PBE-GGA) on Zr2HgTe after structural relaxation.

a b c (Å): 5.2601 5.2601 5.1265
angles (deg): 60.99 60.99 48.68
Fractional coordinates of all 4 atoms:
Hg: 0.2500 0.2500 0.2500
Zr: 0.0043 0.0043 0.9953
Zr: 0.4957 0.4957 0.5047
Te: 0.7500 0.7500 0.7500

Output
Space group = C2/m
Offset from the most stable computed form = 0.0310 eV/atom

---

VASP calculation (PBE-GGA) on ZrHgTe after structural relaxation.

a b c (Å): 3.8530 3.8615 10.8674
angles (deg): 89.17 90.09 90.02
Fractional coordinates of all 6 atoms:
Hg: 0.2202 0.1874 0.8480
Hg: 0.7201 0.6913 0.6683
Te: 0.2193 0.1971 0.4487
Te: 0.7213 0.6816 0.0676
Zr: 0.7188 0.7026 0.3441
Zr: 0.2219 0.1761 0.1722

Output
Space group = P-1
Offset from the most stable computed form = 0.0000 eV/atom

---

VASP calculation (PBE-GGA) on Zr2HgTe after structural relaxation.

a b c (Å): 3.5925 3.5925 8.8927
angles (deg): 78.35 78.35 60.00
Fractional coordinates of all 4 atoms:
Zr: 0.0806 0.0806 0.7581
Zr: 0.2525 0.2525 0.2426
Hg: 0.5002 0.5002 0.4994
Te: 0.6667 0.6667 0.9999

Output
Space group = R3m
Offset from the most stable computed form = 0.1281 eV/atom

---

VASP calculation (PBE-GGA) on ZrHgTe2 after structural relaxation.

a b c (Å): 7.5462 7.5462 7.5462
angles (deg): 152.89 139.19 49.68
Fractional coordinates of all 4 atoms:
Te: 0.9136 0.9136 0.0000
Te: 0.5864 0.5864 0.0000
Hg: 0.2500 0.7500 0.5000
Zr: 0.7500 0.2500 0.5000

Output
Space group = Immm
Energy = -16.5 eV per cell